Record 1
Below is crystalline Bi2HI2 at its relaxed geometry, with properties calculated at the PBE level.

a = 6.550 Å, b = 6.550 Å, c = 6.025 Å
α = 57.08°, β = 57.08°, γ = 90.00°
Fractional coordinates of all 5 atoms:
I1 0.750 0.250 0.500
I2 0.250 0.750 0.500
H1 0.000 0.000 0.000
Bi1 0.275 0.275 0.449
Bi2 0.725 0.725 0.551

Values from the calculation:
**E_tot**: -2.703 eV/atom
**Crystal system**: tetragonal

***

Record 2
Below is crystalline FeBi4S7 at its relaxed geometry, with properties calculated at the PBE level.

a = 6.706 Å, b = 6.706 Å, c = 11.969 Å
α = 76.15°, β = 76.15°, γ = 34.45°
Site moments in Bohr magnetons follow the coordinates.
Fractional coordinates of all 12 atoms:
Fe1 0.000 0.000 0.500  3.33
Bi1 0.119 0.119 0.079  0.01
Bi2 0.881 0.881 0.921  0.01
Bi3 0.316 0.316 0.341  0.04
Bi4 0.684 0.684 0.659  0.04
S1 0.969 0.969 0.312  0.05
S2 0.031 0.031 0.688  0.05
S3 0.253 0.253 0.859  0.01
S4 0.747 0.747 0.141  0.01
S5 0.356 0.356 0.548  0.07
S6 0.644 0.644 0.452  0.07
S7 0.500 0.500 0.000  0.01

Values from the calculation:
**Energy relative to the elements, uncorrected**: -0.2913 eV per atom
**Crystal system**: monoclinic

***

Record 3
Below is crystalline CaLa5Pm2Sm at its relaxed geometry, with properties calculated at the PBE level.

a = 9.427 Å, b = 9.427 Å, c = 10.076 Å
α = 117.89°, β = 117.89°, γ = 90.00°
Fractional coordinates of all 18 atoms:
Ca1 0.250 0.750 0.500
Ca2 0.750 0.250 0.500
La1 0.922 0.422 0.259
La2 0.663 0.163 0.741
La3 0.078 0.578 0.741
La4 0.163 0.078 0.741
La5 0.578 0.663 0.741
La6 0.837 0.922 0.259
La7 0.422 0.337 0.259
La8 0.337 0.837 0.259
La9 0.500 0.500 0.000
La10 0.000 0.000 0.000
Pm1 0.112 0.388 0.000
Pm2 0.612 0.112 0.000
Pm3 0.388 0.888 0.000
Pm4 0.888 0.612 0.000
Sm1 0.250 0.250 0.500
Sm2 0.750 0.750 0.500

Values from the calculation:
**E_tot**: -4.280 eV/atom
**Crystal system**: tetragonal

***

Record 4
Below is crystalline PuCdPt at its relaxed geometry, with properties calculated at the PBE level.

a = 4.771 Å, b = 4.774 Å, c = 8.164 Å
α = 106.84°, β = 90.00°, γ = 119.97°
Site moments in Bohr magnetons follow the coordinates.
Fractional coordinates of all 6 atoms:
Pu1 0.879 0.757 0.135  5.30
Pu2 0.121 0.243 0.865  5.30
Cd1 0.372 0.744 0.614  0.02
Cd2 0.628 0.256 0.386  0.02
Pt1 0.751 0.502 0.753  -0.07
Pt2 0.249 0.498 0.247  -0.07

Values from the calculation:
**E_tot**: -7.490 eV/atom
**Crystal system**: monoclinic

***

Record 5
Below is crystalline LiMgTa at its relaxed geometry, with properties calculated at the PBE level.

a = 2.893 Å, b = 2.893 Å, c = 7.802 Å
α = 90.00°, β = 90.00°, γ = 120.00°
Fractional coordinates of all 3 atoms:
Li1 0.000 0.000 0.998
Mg1 0.333 0.667 0.334
Ta1 0.667 0.333 0.668

Values from the calculation:
**E_tot**: -4.860 eV/atom
**Crystal system**: trigonal

***

Record 6
Below is crystalline InSbPd3 at its relaxed geometry, with properties calculated at the PBE level.

a = 3.367 Å, b = 8.548 Å, c = 8.548 Å
α = 53.24°, β = 89.99°, γ = 89.99°
Fractional coordinates of all 10 atoms:
In1 0.363 0.694 0.746
In2 0.863 0.194 0.247
Sb1 0.363 0.694 0.246
Sb2 0.363 0.194 0.746
Pd1 0.863 0.393 0.833
Pd2 0.863 0.995 0.660
Pd3 0.863 0.607 0.048
Pd4 0.363 0.058 0.110
Pd5 0.863 0.781 0.445
Pd6 0.363 0.330 0.383

Values from the calculation:
**Energy relative to the elements, uncorrected**: -0.3367 eV per atom
**Crystal system**: orthorhombic

***

Record 7
Below is crystalline Br2Cl at its relaxed geometry, with properties calculated at the PBE level.

a = 9.604 Å, b = 9.604 Å, c = 5.098 Å
α = 90.00°, β = 90.00°, γ = 120.00°
Site moments in Bohr magnetons follow the coordinates.
Fractional coordinates of all 9 atoms:
Br1 0.517 0.000 0.000  0.01
Br2 0.000 0.517 0.000  0.01
Br3 0.483 0.483 0.000  0.01
Br4 0.572 0.000 0.500  0.02
Br5 0.000 0.572 0.500  0.02
Br6 0.428 0.428 0.500  0.02
Cl1 0.333 0.667 0.000  0.00
Cl2 0.667 0.333 0.000  0.00
Cl3 0.000 0.000 0.500  0.51

Values from the calculation:
**Energy relative to the elements, uncorrected**: 0.3565 eV per atom
**Crystal system**: hexagonal

***

Record 8
Below is crystalline AcTb5Te6 at its relaxed geometry, with properties calculated at the PBE level.

a = 7.669 Å, b = 7.669 Å, c = 7.704 Å
α = 99.54°, β = 99.54°, γ = 120.18°
Fractional coordinates of all 12 atoms:
Ac1 0.000 0.000 0.000
Te1 0.438 0.087 0.263
Te2 0.913 0.562 0.737
Te3 0.268 0.268 0.752
Te4 0.732 0.732 0.248
Te5 0.087 0.438 0.263
Te6 0.562 0.913 0.737
Tb1 0.848 0.152 0.500
Tb2 0.668 0.332 0.000
Tb3 0.500 0.500 0.500
Tb4 0.332 0.668 0.000
Tb5 0.152 0.848 0.500

Values from the calculation:
**Energy relative to the elements, uncorrected**: -1.3291 eV per atom
**Crystal system**: monoclinic